The following is a DFT calculation (GGA-PBE) of SrReMo2 after structural relaxation.

Lattice parameters (Å, degrees): 4.241 4.241 4.264 90.00 90.00 90.00
Fractional coordinates of all 4 atoms:
Sr 0.000 0.000 0.000
Re 0.500 0.500 0.000
Mo 0.000 0.500 0.500
Mo 0.500 0.000 0.500

Results
Crystal system: tetragonal
Energy above the most stable polymorph in this dataset in meV/atom: 846
Symmetry: P4/mmm
Formation energy in eV/atom: 1.5208

***

The following is a DFT calculation (GGA-PBE) of La2Tb2DySc after structural relaxation.

Lattice parameters (Å, degrees): 5.694 10.883 6.291 90.00 90.00 90.00
Fractional coordinates of all 12 atoms:
La 0.000 0.074 0.000
La 0.000 0.926 0.500
La 0.500 0.254 0.176
La 0.500 0.746 0.676
Tb 0.000 0.424 0.000
Tb 0.000 0.576 0.500
Tb 0.500 0.093 0.676
Tb 0.500 0.907 0.176
Dy 0.000 0.260 0.521
Dy 0.000 0.740 0.021
Sc 0.500 0.422 0.673
Sc 0.500 0.578 0.173

Results
Crystal system: orthorhombic
Symmetry: Pmc2_1
Formation energy in eV/atom: 0.0540

***

The following is a DFT calculation (GGA-PBE) of Mg2As2Pt after structural relaxation.

Lattice parameters (Å, degrees): 6.883 6.883 4.022 90.00 90.00 90.00
Fractional coordinates of all 10 atoms:
Mg 0.161 0.339 0.000
Mg 0.339 0.839 0.000
Mg 0.661 0.161 0.000
Mg 0.839 0.661 0.000
As 0.154 0.654 0.500
As 0.346 0.154 0.500
As 0.654 0.846 0.500
As 0.846 0.346 0.500
Pt 0.000 0.000 0.500
Pt 0.500 0.500 0.500

Results
Crystal system: tetragonal
Symmetry: P4/mbm
Formation energy in eV/atom: -0.3696

***

The following is a DFT calculation (GGA-PBE) of AcPmS2 after structural relaxation.

Lattice parameters (Å, degrees): 4.159 4.159 20.512 90.00 90.00 120.00
Fractional coordinates of all 12 atoms:
Ac 0.000 0.000 0.000
Ac 0.333 0.667 0.667
Ac 0.667 0.333 0.333
Pm 0.000 0.000 0.500
Pm 0.333 0.667 0.167
Pm 0.667 0.333 0.833
S 0.000 0.000 0.244
S 0.000 0.000 0.756
S 0.333 0.667 0.423
S 0.333 0.667 0.910
S 0.667 0.333 0.090
S 0.667 0.333 0.577

Results
Crystal system: trigonal
Energy above the most stable polymorph in this dataset in meV/atom: 0
Symmetry: R-3m